1.
Below is a relaxed CdSi3Sb crystal, with properties calculated at the PBE-GGA level. Values from VASP.

```
&SYSTEM
  ibrav = 0, nat = 5, ntyp = 3
/
ATOMIC_SPECIES
Cd 112.41 Cd.upf
Si 28.09 Si.upf
Sb 121.76 Sb.upf
ATOMIC_POSITIONS crystal
Cd 0.0000 0.0000 0.0000
Si 0.0000 0.0000 0.5000
Si 0.0000 0.5000 0.0000
Si 0.5000 0.0000 0.0000
Sb 0.5000 0.5000 0.5000
CELL_PARAMETERS angstrom
5.0169 0.0000 0.0000
0.0000 5.0169 0.0000
0.0000 0.0000 5.0169
```

Calculated values
Raw formation energy = 1.176 eV per atom
DOS(E_F) = 2.27 states/eV/f.u.
Space group = Pm-3m, No. 221


2.
Below is a relaxed CdSiSb2 crystal, with properties calculated at the PBE-GGA level. Values from VASP.

```
&SYSTEM
  ibrav = 0, nat = 16, ntyp = 3
/
ATOMIC_SPECIES
Cd 112.41 Cd.upf
Si 28.09 Si.upf
Sb 121.76 Sb.upf
ATOMIC_POSITIONS crystal
Cd 0.0000 0.0000 0.0000
Cd 0.0000 0.5000 0.5000
Cd 0.5000 0.0000 0.5000
Cd 0.5000 0.5000 0.0000
Si 0.0000 0.0000 0.5000
Si 0.0000 0.5000 0.0000
Si 0.5000 0.0000 0.0000
Si 0.5000 0.5000 0.5000
Sb 0.2500 0.2500 0.2500
Sb 0.2500 0.2500 0.7500
Sb 0.2500 0.7500 0.2500
Sb 0.2500 0.7500 0.7500
Sb 0.7500 0.2500 0.2500
Sb 0.7500 0.2500 0.7500
Sb 0.7500 0.7500 0.2500
Sb 0.7500 0.7500 0.7500
CELL_PARAMETERS angstrom
7.2442 0.0000 0.0000
0.0000 7.2442 0.0000
0.0000 0.0000 7.2442
```

Calculated values
Raw formation energy = 0.382 eV per atom
DOS(E_F) = 2.24 states/eV/f.u.
Space group = Fm-3m, No. 225


no.,total magnetic moment (μB/atom)
1,0.0000
2,0.0000